# 1
## AsRh2I (GGA-PBE)

Data for a geometry-optimized AsRh2I structure.

Calculated values
ΔE_f (raw), meV/atom: 67
Calculated volume, Å³ per atom: 22.6
Energy above the most stable polymorph in this dataset, meV per atom: 0

Cell: 5.093 5.093 7.837 Å, 71.04 71.04 90.00°
Fractional coordinates of all 8 atoms:
I  0.000  0.000  0.000
As  0.250  0.750  0.500
Rh  0.875  0.813  0.750
Rh  0.563  0.125  0.250
Rh  0.375  0.437  0.750
I  0.750  0.250  0.500
As  0.500  0.500  0.000
Rh  0.187  0.625  0.250

=====

# 2
## ScFeS2Cl (GGA-PBE)

Data for a geometry-optimized ScFeS2Cl structure.

Calculated values
ΔE_f (raw), meV/atom: -459
Calculated volume, Å³ per atom: 18.7
Energy above the most stable polymorph in this dataset, meV per atom: 0

Cell: 4.560 4.560 4.486 Å, 90.00 90.00 90.00°
Each line ends with the local moment (μB).
Fractional coordinates of all 5 atoms:
Fe  0.000  0.000  0.000  2.37
Sc  0.500  0.500  0.500  -0.28
S  0.000  0.500  0.000  0.07
Cl  0.000  0.000  0.500  0.04
S  0.500  0.000  0.000  0.07

=====

# 3
## SrCa2Cu (GGA-PBE)

Data for a geometry-optimized SrCa2Cu structure.

Calculated values
Formation energy, eV per atom: -0.05
Calculated volume, Å³ per atom: 35.1
Energy above the most stable polymorph in this dataset, meV per atom: 0

Cell: 4.195 6.991 10.035 Å, 90.00 90.00 107.44°
Fractional coordinates of all 8 atoms:
Ca  0.352  0.703  0.933
Cu  0.242  0.488  0.250
Ca  0.648  0.297  0.067
Ca  0.648  0.297  0.433
Sr  0.075  0.149  0.750
Cu  0.758  0.512  0.750
Ca  0.352  0.703  0.567
Sr  0.925  0.851  0.250

=====

# 4
## Dy4In3Ni (GGA-PBE)

Data for a geometry-optimized Dy4In3Ni structure.

Calculated values
Formation energy, eV per atom: -0.45
Calculated volume, Å³ per atom: 24.7

Cell: 3.497 3.497 16.176 Å, 90.00 90.00 90.00°
Fractional coordinates of all 8 atoms:
In  0.500  0.500  0.765
Dy  0.000  0.000  0.100
Dy  0.000  0.000  0.633
Dy  0.000  0.000  0.900
Ni  0.500  0.500  0.000
Dy  0.000  0.000  0.367
In  0.500  0.500  0.235
In  0.500  0.500  0.500

=====

Question: Which of these has the lowest calculated volume?
Answer: ScFeS2Cl